A geometry-optimized Tm4AsPb2 structure, computed with PBE-GGA.

Cell and atoms, written as POSCAR:
```
Tm4AsPb2
1.0
3.910 0.000 0.000
0.000 13.219 0.000
0.000 0.000 14.991
Tm As Pb
16 4 8
direct
0.250 0.439 0.386
0.750 0.241 0.706
0.750 0.061 0.886
0.750 0.556 0.210
0.750 0.056 0.290
0.750 0.310 0.961
0.250 0.190 0.461
0.750 0.741 0.794
0.750 0.561 0.614
0.250 0.944 0.710
0.750 0.810 0.539
0.250 0.444 0.790
0.250 0.939 0.114
0.250 0.690 0.039
0.250 0.259 0.206
0.250 0.759 0.294
0.750 0.775 0.157
0.750 0.275 0.343
0.250 0.725 0.657
0.250 0.225 0.843
0.750 0.055 0.581
0.250 0.377 0.588
0.750 0.555 0.919
0.750 0.123 0.088
0.250 0.445 0.081
0.250 0.945 0.419
0.750 0.623 0.412
0.250 0.877 0.912
```

* symmetry: Pnma
* ΔE_f: -0.62 eV/atom
* calculated volume: 775 Å³ per cell
* magnetization: 0.00 Bohr magnetons per cell
* DFT total energy: -4.90 eV per atom

A geometry-optimized Tm2AsPb structure, computed with PBE-GGA.

Cell and atoms, written as POSCAR:
```
Tm2AsPb
1.0
-2.316 2.644 -1.763
-3.159 -1.188 -2.017
-6.296 1.025 5.425
Tm Pb As
2 1 1
direct
0.239 0.239 0.282
0.094 0.094 0.718
0.667 0.667 0.998
0.499 0.499 0.502
```

* symmetry: R3m
* ΔE_f: -0.80 eV/atom
* calculated volume: 108 Å³ per cell
* magnetization: 0.00 Bohr magnetons per cell
* offset from the most stable computed form: 14.2 kJ per mole of atoms
* DFT total energy: -5.12 eV per atom

Which of these has the highest calculated volume? Tm4AsPb2

The highest calculated volume belongs to which entry? Tm4AsPb2